Entry 1:
Material: Cs2Nb2Se5
Method: DFT, PBE-GGA
State: relaxed

- Formation energy from raw total energies: -0.88 eV/atom
- Total energy: -5.2454 eV per atom

Structure (POSCAR):
```
Cs2Nb2Se5
1.0
5.0612 0.0000 0.0000
-2.5306 7.4264 -0.1620
0.0000 -1.3300 8.8871
Se Nb Cs
5 2 2
Cartesian
0.0000 0.9670 5.5911
0.0000 4.6622 0.1802
2.5306 5.1294 3.1340
2.5306 1.4341 8.5449
0.0000 0.0000 0.0000
2.5306 5.1367 0.7566
0.0000 0.9597 7.9685
0.0000 5.2665 5.9605
2.5306 0.8299 2.7646
```


Entry 2:
Material: Co2SiIr
Method: DFT, PBE-GGA
State: relaxed

- Formation energy from raw total energies: -0.08 eV/atom
- Total energy: -7.2009 eV per atom

Structure (POSCAR):
```
Co2SiIr
1.0
-6.4037 3.9499 -2.5528
-5.5821 2.8376 -4.8901
-7.1413 1.4133 -3.1827
Ir Co Si
1 2 1
Cartesian
-9.4841 4.0663 -5.2686
-0.0635 0.0272 -0.0353
-4.8717 2.0888 -2.7063
-14.2714 6.1189 -7.9281
```


Entry 3:
Material: FeAgSb2
Method: DFT, PBE-GGA
State: relaxed

- Formation energy from raw total energies: 0.18 eV/atom
- Total energy: -4.7118 eV per atom

Structure (POSCAR):
```
FeAgSb2
1.0
4.5882 -0.2466 0.5801
3.6310 2.8156 0.5801
1.3995 0.4374 6.3039
Sb Fe Ag
2 1 1
Cartesian
7.3963 2.3119 5.7115
7.8463 2.4525 2.1091
2.0110 0.6286 0.8175
5.3934 1.6858 3.7181
```


Entry 4:
Material: SbMoOs
Method: DFT, PBE-GGA
State: relaxed

- Formation energy from raw total energies: 0.41 eV/atom
- Total energy: -8.3185 eV per atom

Structure (POSCAR):
```
SbMoOs
1.0
-3.1780 -0.6910 3.0820
-0.4982 -1.6424 -4.1389
1.3387 -2.4824 0.8239
Sb Mo Os
1 1 1
Cartesian
-0.7223 -2.5660 -1.3201
0.0001 -0.0002 0.0001
-1.6153 -2.2495 1.0871
```


Q: What is the total energy in the fourth record?
A: -8.3185 eV per atom


Q: Which formula does entry 4 have?
A: SbMoOs


Q: What is the formation energy from raw total energies in the second record?
A: -0.08 eV/atom


Q: Which of these has the lowest total energy?
A: SbMoOs